## PuThSi2 (PBE)

Data for a geometry-optimized PuThSi2 structure.

Properties
E_form (uncorrected): -0.37 eV/atom
Excess energy over the best structure of this formula in the dataset: 17.28 kJ/mol of atoms
Size of the total moment: 5.447 μB per formula unit
DOS(E_F): 1.9208 states/eV/atom

a b c (Å): 3.308 3.308 8.049
angles (deg): 90.00 90.00 90.00
Each line ends with the local moment (μB).
Positions (direct):
Si 0.000 0.000 0.758  -0.04
Si 0.000 0.000 0.242  -0.04
Pu 0.500 0.500 0.000  5.27
Th 0.500 0.500 0.500  0.00

## NpFeGe (PBE)

Data for a geometry-optimized NpFeGe structure.

Properties
Size of the total moment: 1.870 μB per formula unit
DOS(E_F): 0.8817 states/eV/atom
DFT formation energy: -0.18 eV per atom

a b c (Å): 3.366 4.280 4.280
angles (deg): 120.00 90.00 90.00
Each line ends with the local moment (μB).
Positions (direct):
Np 0.667 0.667 0.333  3.61
Fe 0.167 0.000 0.000  -2.03
Ge 0.167 0.333 0.667  -0.01

## RbZn2Rh2 (PBE)

Data for a geometry-optimized RbZn2Rh2 structure.

Properties
Excess energy over the best structure of this formula in the dataset: 0.00 kJ/mol of atoms
Size of the total moment: 0.379 μB per formula unit
DOS(E_F): 0.8168 states/eV/atom
DFT formation energy: 0.11 eV per atom

a b c (Å): 7.912 7.912 2.892
angles (deg): 90.00 90.00 90.00
Each line ends with the local moment (μB).
Positions (direct):
Zn 0.660 0.840 0.500  0.00
Zn 0.160 0.660 0.500  0.00
Zn 0.840 0.340 0.500  0.00
Zn 0.340 0.160 0.500  0.00
Rh 0.876 0.624 0.000  0.18
Rh 0.124 0.376 0.000  0.18
Rh 0.376 0.876 0.000  0.19
Rh 0.624 0.124 0.000  0.19
Rb 0.500 0.500 0.000  0.00
Rb 0.000 0.000 0.000  0.00

## CdHgTe2 (PBE)

Data for a geometry-optimized CdHgTe2 structure.

Properties
E_form (uncorrected): -0.24 eV/atom
Excess energy over the best structure of this formula in the dataset: 7.19 kJ/mol of atoms
Size of the total moment: 0.000 μB per formula unit
DOS(E_F): 0.0000 states/eV/atom

a b c (Å): 11.760 4.662 12.431
angles (deg): 90.00 90.00 90.00
Positions (direct):
Cd 0.537 0.250 0.864
Cd 0.963 0.750 0.364
Cd 0.463 0.750 0.136
Cd 0.037 0.250 0.636
Te 0.004 0.750 0.142
Te 0.138 0.750 0.542
Te 0.996 0.250 0.858
Te 0.638 0.750 0.958
Te 0.362 0.250 0.042
Te 0.504 0.750 0.358
Te 0.496 0.250 0.642
Te 0.862 0.250 0.458
Hg 0.370 0.750 0.598
Hg 0.630 0.250 0.402
Hg 0.130 0.250 0.098
Hg 0.870 0.750 0.902

## Al4CdPb (PBE)

Data for a geometry-optimized Al4CdPb structure.

Properties
Size of the total moment: 0.000 μB per formula unit
DOS(E_F): 0.4900 states/eV/atom
DFT formation energy: 0.18 eV per atom

a b c (Å): 5.637 5.637 5.637
angles (deg): 60.00 60.00 60.00
Positions (direct):
Al 0.874 0.375 0.375
Al 0.375 0.874 0.375
Al 0.375 0.375 0.375
Al 0.375 0.375 0.874
Pb 0.000 0.000 0.000
Cd 0.750 0.750 0.750

## Er2TiIn (PBE)

Data for a geometry-optimized Er2TiIn structure.

Properties
Excess energy over the best structure of this formula in the dataset: 11.11 kJ/mol of atoms
Size of the total moment: 0.002 μB per formula unit
DOS(E_F): 1.0572 states/eV/atom
DFT formation energy: 0.00 eV per atom

a b c (Å): 3.367 3.367 10.505
angles (deg): 80.78 80.78 60.00
Positions (direct):
Ti 0.500 0.500 0.500
Er 0.754 0.754 0.739
Er 0.246 0.246 0.261
In 0.000 0.000 0.000

## DyTlPb2I8 (PBE)

Data for a geometry-optimized DyTlPb2I8 structure.

Properties
E_form (uncorrected): -0.86 eV/atom
Size of the total moment: 0.000 μB per formula unit
DOS(E_F): 0.0000 states/eV/atom

a b c (Å): 7.823 7.332 9.697
angles (deg): 89.97 89.99 89.07
Positions (direct):
I 0.847 0.245 0.222
I 0.324 0.235 0.000
I 0.362 0.265 0.500
I 0.848 0.245 0.778
I 0.638 0.735 0.500
I 0.153 0.755 0.778
I 0.676 0.765 0.000
I 0.152 0.755 0.222
Pb 0.500 0.500 0.750
Pb 0.500 0.500 0.250
Dy 0.000 0.000 0.000
Tl 0.000 0.000 0.500

## NpAl8Cr4 (PBE)

Data for a geometry-optimized NpAl8Cr4 structure.

Properties
Size of the total moment: 0.530 μB per formula unit
DOS(E_F): 1.1132 states/eV/atom
DFT formation energy: -0.12 eV per atom

a b c (Å): 6.780 6.780 6.780
angles (deg): 97.87 97.87 136.57
Each line ends with the local moment (μB).
Positions (direct):
Cr 0.000 0.000 0.500  -0.80
Cr 0.000 0.500 0.000  -0.80
Cr 0.500 0.500 0.500  -0.80
Cr 0.500 0.000 0.000  -0.80
Al 0.718 0.500 0.218  0.01
Al 0.000 0.342 0.342  0.00
Al 0.500 0.282 0.782  0.01
Al 0.342 0.000 0.342  0.00
Al 0.282 0.500 0.782  0.01
Al 0.658 0.000 0.658  0.00
Al 0.000 0.658 0.658  0.00
Al 0.500 0.718 0.218  0.01
Np 0.000 0.000 0.000  3.59

## TcPt5 (PBE)

Data for a geometry-optimized TcPt5 structure.

Properties
Excess energy over the best structure of this formula in the dataset: 8.43 kJ/mol of atoms
Size of the total moment: 0.000 μB per formula unit
DOS(E_F): 1.5411 states/eV/atom
DFT formation energy: -0.03 eV per atom

a b c (Å): 2.765 7.404 4.625
angles (deg): 90.00 90.00 79.24
Positions (direct):
Pt 0.229 0.541 0.500
Pt 0.997 0.006 0.000
Pt 0.333 0.335 0.000
Pt 0.664 0.672 0.000
Pt 0.553 0.894 0.500
Tc 0.891 0.219 0.500

## FeCo2 (PBE)

Data for a geometry-optimized FeCo2 structure.

Properties
Size of the total moment: 5.872 μB per formula unit
DOS(E_F): 1.2283 states/eV/atom
DFT formation energy: 0.56 eV per atom

a b c (Å): 3.837 3.837 3.830
angles (deg): 120.06 120.03 90.00
Each line ends with the local moment (μB).
Positions (direct):
Co 0.750 0.250 0.500  1.71
Co 0.250 0.750 0.500  1.71
Fe 0.000 0.000 0.000  2.47

## RbPtPbBr6 (PBE)

Data for a geometry-optimized RbPtPbBr6 structure.

Properties
E_form (uncorrected): -0.75 eV/atom
Size of the total moment: 1.014 μB per formula unit
DOS(E_F): 0.0176 states/eV/atom

a b c (Å): 7.347 7.344 7.446
angles (deg): 88.81 91.16 62.98
Each line ends with the local moment (μB).
Positions (direct):
Pt 0.333 0.333 0.500  0.50
Br 0.338 0.611 0.303  0.01
Br 0.043 0.346 0.307  0.01
Br 0.042 0.603 0.735  0.15
Br 0.347 0.043 0.693  0.01
Br 0.610 0.339 0.697  0.01
Br 0.604 0.043 0.266  0.15
Rb 0.001 0.001 0.000  0.00
Pb 0.681 0.681 0.500  0.00

## YBeRh2Au (PBE)

Data for a geometry-optimized YBeRh2Au structure.

Properties
Size of the total moment: 0.000 μB per formula unit
DOS(E_F): 0.1707 states/eV/atom
DFT formation energy: -0.59 eV per atom

a b c (Å): 4.341 4.341 4.329
angles (deg): 90.00 90.00 90.00
Positions (direct):
Au 0.000 0.000 0.500
Rh 0.000 0.500 0.000
Rh 0.500 0.000 0.000
Y 0.500 0.500 0.500
Be 0.000 0.000 0.000